Density functional theory data (PBE with a Hubbard U) for a relaxed AlCrO4 crystal.

## Properties
calculated density = 2.14 g cm⁻³
electronic total energy = -7.09 eV/atom

```
AlCrO4
1.0
7.1145 0.0000 -3.7750
3.5573 3.7095 -1.8875
-1.8186 0.0000 5.1643
Cr O Al
1 4 1
Direct
0.7500 0.5000 0.5000
0.7294 0.6369 0.8480
0.5184 0.3631 0.1520
0.1186 0.1520 0.6369
0.6337 0.8480 0.3631
0.5000 0.0000 0.0000
```